Record 1
Compound: ZnTc2Te
Source: Alexandria via LeMat-Bulk
Functional: PBE-GGA
Structure: relaxed

The structure in extended XYZ format:
```
4
Lattice="3.280 0.000 0.000 0.000 3.280 0.000 0.000 0.000 6.164" Properties=species:S:1:pos:R:3 pbc="T T T"
Zn 0.000 0.000 0.000
Tc 0.000 0.000 2.800
Tc 1.640 1.640 1.143
Te 1.640 1.640 4.293
```

Summary:
- Magnetic moment: 0.00 μB/f.u.
- E_form (uncorrected): 0.287 eV/atom
- V: 16.6 A^3/atom
- E above lowest polymorph: 0.109 eV/atom

Record 2
Compound: LiSmGdOs
Source: Alexandria via LeMat-Bulk
Functional: PBE-GGA
Structure: relaxed

The structure in extended XYZ format:
```
16
Lattice="7.027 0.000 0.000 0.000 7.027 0.000 0.000 0.000 7.027" Properties=species:S:1:pos:R:3 pbc="T T T"
Li 0.000 0.000 0.000
Li 0.000 3.513 3.513
Li 3.513 0.000 3.513
Li 3.513 3.513 0.000
Sm 1.757 1.757 5.270
Sm 1.757 5.270 1.757
Sm 5.270 1.757 1.757
Sm 5.270 5.270 5.270
Gd 1.757 1.757 1.757
Gd 1.757 5.270 5.270
Gd 5.270 1.757 5.270
Gd 5.270 5.270 1.757
Os 0.000 0.000 3.513
Os 0.000 3.513 0.000
Os 3.513 0.000 0.000
Os 3.513 3.513 3.513
```

Summary:
- Magnetic moment: 7.17 μB/f.u.
- V: 21.7 A^3/atom
- Energy of formation from the pure elements: -0.158 eV/atom

Record 3
Compound: NaMgBeH2
Source: Alexandria via LeMat-Bulk
Functional: PBE-GGA
Structure: relaxed

The structure in extended XYZ format:
```
5
Lattice="3.929 0.000 0.000 0.000 3.929 0.000 0.000 0.000 5.098" Properties=species:S:1:pos:R:3 pbc="T T T"
Na 0.000 0.000 0.000
Mg 1.964 1.964 2.549
Be 0.000 0.000 2.549
H 0.000 1.964 0.000
H 1.964 0.000 0.000
```

Summary:
- Magnetic moment: 0.00 μB/f.u.
- V: 15.7 A^3/atom
- Energy: -1.7805 eV per atom

Record 4
Compound: PuHfNi4
Source: Alexandria via LeMat-Bulk
Functional: PBE-GGA
Structure: relaxed

The structure in extended XYZ format:
```
6
Lattice="0.000 3.512 3.512 3.512 0.000 3.512 3.512 3.512 0.000" Properties=species:S:1:pos:R:3 pbc="T T T"
Pu 0.000 0.000 0.000
Hf 1.756 1.756 1.756
Ni 4.389 2.636 2.636
Ni 2.636 4.389 2.636
Ni 2.636 2.636 4.389
Ni 4.389 4.389 4.389
```

Summary:
- Magnetic moment: 5.63 μB/f.u.
- V: 14.4 A^3/atom
- Energy of formation from the pure elements: -0.324 eV/atom

Record 5
Compound: NaCd11Hg
Source: Alexandria via LeMat-Bulk
Functional: PBE-GGA
Structure: relaxed

The structure in extended XYZ format:
```
13
Lattice="3.014 -7.232 0.000 3.014 7.232 0.000 -2.749 0.000 7.166" Properties=species:S:1:pos:R:3 pbc="T T T"
Na 0.000 0.000 0.000
Cd 1.507 3.616 0.000
Cd 0.201 4.675 4.639
Cd 0.216 1.538 5.648
Cd 3.079 4.675 2.526
Cd 3.064 1.538 1.518
Cd 1.507 -3.616 0.000
Cd 1.640 0.000 3.583
Cd 0.216 -1.538 5.648
Cd 0.201 -4.675 4.639
Cd 3.064 -1.538 1.518
Cd 3.079 -4.675 2.526
Hg -1.374 0.000 3.583
```

Summary:
- Magnetic moment: 0.00 μB/f.u.
- V: 24.0 A^3/atom
- Energy of formation from the pure elements: -0.006 eV/atom

Record 6
Compound: La3Sm2Y6Sc
Source: Alexandria via LeMat-Bulk
Functional: PBE-GGA
Structure: relaxed

The structure in extended XYZ format:
```
12
Lattice="3.117 -5.401 0.000 3.117 5.401 0.000 -2.080 0.000 11.702" Properties=species:S:1:pos:R:3 pbc="T T T"
La 0.000 0.000 0.000
La 3.117 1.803 0.000
La 3.117 -1.803 0.000
Sm 2.077 3.606 5.851
Sm 2.077 -3.606 5.851
Y 1.052 1.784 2.999
Y 0.014 0.000 8.708
Y 1.052 -1.784 2.999
Y 3.103 1.784 8.704
Y 4.140 0.000 2.995
Y 3.103 -1.784 8.704
Sc 2.077 0.000 5.851
```

Summary:
- Magnetic moment: 0.00 μB/f.u.
- V: 32.8 A^3/atom
- Energy of formation from the pure elements: 0.029 eV/atom

- Look up the V of the sixth one.
  32.8 A^3/atom

What did the fourth record say?
Compound: PuHfNi4
Source: Alexandria via LeMat-Bulk
Functional: PBE-GGA
Structure: relaxed

The structure in extended XYZ format:
```
6
Lattice="0.000 3.512 3.512 3.512 0.000 3.512 3.512 3.512 0.000" Properties=species:S:1:pos:R:3 pbc="T T T"
Pu 0.000 0.000 0.000
Hf 1.756 1.756 1.756
Ni 4.389 2.636 2.636
Ni 2.636 4.389 2.636
Ni 2.636 2.636 4.389
Ni 4.389 4.389 4.389
```

Summary:
- Magnetic moment: 5.63 μB/f.u.
- V: 14.4 A^3/atom
- Energy of formation from the pure elements: -0.324 eV/atom